Entry 1:
## SrAs2HBr (GGA-PBE)

Data for crystalline SrAs2HBr at its relaxed geometry.

Offset from the most stable computed form (meV per atom): 1047

```
data_SrAs2HBr
_chemical_formula_sum 'Sr1 As2 H1 Br1'
_symmetry_space_group_name_H-M 'P 4/m m m'
_symmetry_Int_Tables_number 123
_symmetry_space_group_name_Hall '-P 4 2'
_cell_length_a 6.519
_cell_length_b 6.519
_cell_length_c 5.927
_cell_angle_alpha 90.00
_cell_angle_beta 90.00
_cell_angle_gamma 90.00
loop_
_atom_site_label
_atom_site_fract_x
_atom_site_fract_y
_atom_site_fract_z
Sr1 0.000 0.000 0.000
As1 0.000 0.500 0.000
H1 0.500 0.500 0.500
Br1 0.000 0.000 0.500
```

***

Entry 2:
## SrAsHBr2 (GGA-PBE)

Data for crystalline SrAsHBr2 at its relaxed geometry.

Offset from the most stable computed form (meV per atom): 427

```
data_SrAsHBr2
_chemical_formula_sum 'Sr1 As1 H1 Br2'
_symmetry_space_group_name_H-M 'P 4/m m m'
_symmetry_Int_Tables_number 123
_symmetry_space_group_name_Hall '-P 4 2'
_cell_length_a 5.919
_cell_length_b 5.919
_cell_length_c 7.170
_cell_angle_alpha 90.00
_cell_angle_beta 90.00
_cell_angle_gamma 90.00
loop_
_atom_site_label
_atom_site_fract_x
_atom_site_fract_y
_atom_site_fract_z
Sr1 0.000 0.000 0.000
As1 0.000 0.000 0.500
H1 0.500 0.500 0.500
Br1 0.000 0.500 0.000
```

***

Entry 3:
## SrAsHBr2 (GGA-PBE)

Data for crystalline SrAsHBr2 at its relaxed geometry.

Offset from the most stable computed form (meV per atom): 0

```
data_SrAsHBr2
_chemical_formula_sum 'Sr1 As1 H1 Br2'
_symmetry_space_group_name_H-M 'P 4/m m m'
_symmetry_Int_Tables_number 123
_symmetry_space_group_name_Hall '-P 4 2'
_cell_length_a 5.379
_cell_length_b 5.379
_cell_length_c 3.845
_cell_angle_alpha 90.00
_cell_angle_beta 90.00
_cell_angle_gamma 90.00
loop_
_atom_site_label
_atom_site_fract_x
_atom_site_fract_y
_atom_site_fract_z
Sr1 0.000 0.000 0.000
As1 0.500 0.500 0.000
H1 0.500 0.500 0.500
Br1 0.000 0.500 0.500
```

***

Entry 4:
## SrAs2HBr (GGA-PBE)

Data for crystalline SrAs2HBr at its relaxed geometry.

Offset from the most stable computed form (meV per atom): 0

```
data_SrAs2HBr
_chemical_formula_sum 'Sr1 As2 H1 Br1'
_symmetry_space_group_name_H-M 'P 4/m m m'
_symmetry_Int_Tables_number 123
_symmetry_space_group_name_Hall '-P 4 2'
_cell_length_a 4.185
_cell_length_b 4.185
_cell_length_c 6.298
_cell_angle_alpha 90.00
_cell_angle_beta 90.00
_cell_angle_gamma 90.00
loop_
_atom_site_label
_atom_site_fract_x
_atom_site_fract_y
_atom_site_fract_z
Sr1 0.000 0.000 0.000
As1 0.000 0.500 0.500
H1 0.500 0.500 0.500
Br1 0.500 0.500 0.000
```

***

Entry 5:
## TcAs2HBr (GGA-PBE)

Data for crystalline TcAs2HBr at its relaxed geometry.

Offset from the most stable computed form (meV per atom): 0

```
data_TcAs2HBr
_chemical_formula_sum 'Tc1 As2 H1 Br1'
_symmetry_space_group_name_H-M 'P 4/m m m'
_symmetry_Int_Tables_number 123
_symmetry_space_group_name_Hall '-P 4 2'
_cell_length_a 4.720
_cell_length_b 4.720
_cell_length_c 5.554
_cell_angle_alpha 90.00
_cell_angle_beta 90.00
_cell_angle_gamma 90.00
loop_
_atom_site_label
_atom_site_fract_x
_atom_site_fract_y
_atom_site_fract_z
Tc1 0.000 0.000 0.000
As1 0.000 0.500 0.000
H1 0.500 0.500 0.500
Br1 0.000 0.000 0.500
```

***

Entry 6:
## Tc2AsHBr (GGA-PBE)

Data for crystalline Tc2AsHBr at its relaxed geometry.

Total energy (eV per cell): -22.3

```
data_Tc2AsHBr
_chemical_formula_sum 'Tc2 As1 H1 Br1'
_symmetry_space_group_name_H-M 'P 4/m m m'
_symmetry_Int_Tables_number 123
_symmetry_space_group_name_Hall '-P 4 2'
_cell_length_a 4.762
_cell_length_b 4.762
_cell_length_c 5.825
_cell_angle_alpha 90.00
_cell_angle_beta 90.00
_cell_angle_gamma 90.00
loop_
_atom_site_label
_atom_site_fract_x
_atom_site_fract_y
_atom_site_fract_z
Tc1 0.000 0.500 0.000
As1 0.000 0.000 0.000
H1 0.500 0.500 0.500
Br1 0.000 0.000 0.500
```